## LaGa2Tc (GGA-PBE)

Data for LaGa2Tc after structural relaxation.

Calculated values
**Space-group type**: Fm-3m
**Energy relative to the elements**: -33.3 kJ/mol of formula units
**Relative energy among the computed polymorphs**: 201 meV/atom

Lattice parameters (Å, degrees): 4.819 4.819 4.819 60.00 60.00 60.00
Last column: magnetic moment on the atom in μB.
Sites, in units of the cell vectors:
Ga1 0.250 0.250 0.250  0.01
Ga2 0.750 0.750 0.750  0.01
Tc1 0.000 0.000 0.000  0.80
La1 0.500 0.500 0.500  0.01

***

## Hg2Pb2Se (GGA-PBE)

Data for Hg2Pb2Se after structural relaxation.

Calculated values
**Space-group type**: P4/mbm
**Raw formation energy**: 0.0454 eV/atom
**Relative energy among the computed polymorphs**: 94 meV/atom

Lattice parameters (Å, degrees): 7.927 7.927 4.469 90.00 90.00 90.00
Sites, in units of the cell vectors:
Pb1 0.171 0.671 0.500
Pb2 0.829 0.329 0.500
Pb3 0.329 0.171 0.500
Pb4 0.671 0.829 0.500
Se1 0.500 0.500 0.000
Se2 0.000 0.000 0.000
Hg1 0.365 0.865 0.000
Hg2 0.635 0.135 0.000
Hg3 0.865 0.635 0.000
Hg4 0.135 0.365 0.000

***

## Ba3BrN (GGA-PBE)

Data for Ba3BrN after structural relaxation.

Calculated values
**Space-group type**: Pm-3m
**Raw formation energy**: -0.5944 eV/atom
**Relative energy among the computed polymorphs**: 250 meV/atom

Lattice parameters (Å, degrees): 5.665 5.665 5.665 90.00 90.00 90.00
Last column: magnetic moment on the atom in μB.
Sites, in units of the cell vectors:
Ba1 0.000 0.500 0.000  0.09
Ba2 0.000 0.000 0.500  0.09
Ba3 0.500 0.000 0.000  0.11
N1 0.000 0.000 0.000  -0.02
Br1 0.500 0.500 0.500  0.02

***

## LuHfZnRe (GGA-PBE)

Data for LuHfZnRe after structural relaxation.

Calculated values
**Space-group type**: F-43m
**Energy relative to the elements**: -70.9 kJ/mol of formula units

Lattice parameters (Å, degrees): 4.740 4.740 4.740 60.00 60.00 60.00
Sites, in units of the cell vectors:
Lu1 0.750 0.750 0.750
Re1 0.500 0.500 0.500
Hf1 0.250 0.250 0.250
Zn1 0.000 0.000 0.000

***

## LaPm2MgAu4 (GGA-PBE)

Data for LaPm2MgAu4 after structural relaxation.

Calculated values
**Space-group type**: R-3m
**Energy relative to the elements**: -580.7 kJ/mol of formula units

Lattice parameters (Å, degrees): 5.142 5.142 9.009 73.42 73.42 60.00
Sites, in units of the cell vectors:
Au1 0.386 0.386 0.842
Au2 0.121 0.121 0.636
Au3 0.614 0.614 0.158
Au4 0.879 0.879 0.364
La1 0.000 0.000 0.000
Pm1 0.759 0.759 0.722
Pm2 0.241 0.241 0.278
Mg1 0.500 0.500 0.500

***

## SrCo2Tc (GGA-PBE)

Data for SrCo2Tc after structural relaxation.

Calculated values
**Space-group type**: C2/m
**Energy relative to the elements**: 305.8 kJ/mol of formula units
**Relative energy among the computed polymorphs**: 512 meV/atom

Lattice parameters (Å, degrees): 4.748 7.313 2.868 66.79 90.09 130.63
Last column: magnetic moment on the atom in μB.
Sites, in units of the cell vectors:
Co1 0.000 0.000 0.000  1.29
Co2 0.000 0.500 0.500  1.29
Sr1 0.500 0.500 0.000  -0.10
Tc1 0.500 0.000 0.500  0.74

***

The following uncorrected energy values (in eV/atom) correspond, in order, to the records above: -5.4231, -2.2555, -3.7477, -7.2329, -4.3939, -5.7726.